Record 1
Entry from Alexandria via LeMat-Bulk: a geometry-optimized CdHAu3 structure (PBE).

a = 4.2763 Å, b = 4.2763 Å, c = 4.2763 Å
α = 90.00°, β = 90.00°, γ = 90.00°
Last column: nearest neighbours and their distance in Å.
Atoms (fractional coordinates):
1 Cd 0.0000 0.0000 0.0000  12 Au 3.02
2 H 0.5000 0.5000 0.5000  6 Au 2.14
3 Au 0.0000 0.5000 0.5000  2 H 2.14
4 Au 0.5000 0.0000 0.5000  2 H 2.14
5 Au 0.5000 0.5000 0.0000  2 H 2.14

Fermi-level density of states in states/eV/cell: 1.29
Symmetry: Pm-3m, No. 221
Polymorph energy (0 for the lowest one) in kcal/mol of atoms: 0.00

***

Record 2
Entry from Alexandria via LeMat-Bulk: a geometry-optimized CdHAu structure (PBE).

a = 4.6258 Å, b = 4.7070 Å, c = 5.0474 Å
α = 64.05°, β = 67.94°, γ = 89.74°
Last column: nearest neighbours and their distance in Å.
Atoms (fractional coordinates):
1 Cd 0.0000 0.0000 0.0000  4 H 2.59-2.78
2 Cd 0.4994 0.4995 0.0002  4 H 2.52-2.71
3 H 0.4999 0.4999 0.4986  2 Au 1.84
4 H 0.9991 0.4991 0.5007  2 Au 1.85
5 Au 0.2543 0.8093 0.4902  2 H 1.84-1.85
6 Au 0.7443 0.1893 0.5107  2 H 1.84-1.85

Fermi-level density of states in states/eV/cell: 1.15
Symmetry: P1, No. 1
Polymorph energy (0 for the lowest one) in kcal/mol of atoms: 1.59

***

Record 3
Entry from Alexandria via LeMat-Bulk: a geometry-optimized Cd2HAu2 structure (PBE).

a = 5.6701 Å, b = 5.6701 Å, c = 5.3868 Å
α = 90.00°, β = 90.00°, γ = 90.00°
Last column: nearest neighbours and their distance in Å.
Atoms (fractional coordinates):
1 Cd 0.1775 0.3225 0.0000  5 Cd 2.85-2.95, 2 Au 2.93
2 Cd 0.3225 0.8225 0.0000  5 Cd 2.85-2.95, 2 Au 2.93
3 Cd 0.6775 0.1775 0.0000  5 Cd 2.85-2.95, 2 Au 2.93
4 Cd 0.8225 0.6775 0.0000  5 Cd 2.85-2.95, 2 Au 2.93
5 H 0.0000 0.0000 0.5000  4 Au 2.08
6 H 0.5000 0.5000 0.5000  4 Au 2.08
7 Au 0.1789 0.6789 0.5000  2 H 2.08
8 Au 0.3211 0.1789 0.5000  2 H 2.08
9 Au 0.6789 0.8211 0.5000  2 H 2.08
10 Au 0.8211 0.3211 0.5000  2 H 2.08

Fermi-level density of states in states/eV/cell: 3.68
Symmetry: P4/mbm, No. 127
Polymorph energy (0 for the lowest one) in kcal/mol of atoms: 0.00

***

- What is the polymorph energy (0 for the lowest one) in the third record?
  0.00 kcal/mol of atoms